NiSCl2F: optimized geometry, GGA+U.

```
data_NiSCl2F
_space_group_name_H-M_alt 'P 1'
_space_group_IT_number 1
_cell_length_a 5.394
_cell_length_b 5.394
_cell_length_c 3.593
_cell_angle_alpha 90.00
_cell_angle_beta 90.00
_cell_angle_gamma 90.00
loop_
_space_group_symop_operation_xyz
'x,y,z'
loop_
_atom_site_label
_atom_site_type_symbol
_atom_site_fract_x
_atom_site_fract_y
_atom_site_fract_z
Ni1 Ni 0.000 0.000 0.000
S1 S 0.500 0.500 0.000
Cl1 Cl 0.000 0.500 0.500
Cl2 Cl 0.500 0.000 0.500
F1 F 0.500 0.500 0.500
```

Computed properties:
Theoretical density: 2.9 g cm⁻³
E_tot: -1.973 eV per atom
Excess energy over the best structure of this formula in the dataset: 308 meV per atom